Record 1
Material: Sc2CrRh
Method: DFT, PBE
State: optimized geometry

a = 8.684 Å, b = 8.684 Å, c = 8.684 Å
α = 20.62°, β = 20.62°, γ = 20.62°
Sites, in units of the cell vectors:
Sc (0.247, 0.247, 0.247)
Sc (0.753, 0.753, 0.753)
Cr (0.000, 0.000, 0.000)
Rh (0.500, 0.500, 0.500)

Results
- Energy of formation from the pure elements: -0.028 eV/atom
- Symmetry: No. 166

=====

Record 2
Material: BaSc2Ni
Method: DFT, PBE
State: optimized geometry

a = 3.339 Å, b = 3.340 Å, c = 9.202 Å
α = 90.00°, β = 90.06°, γ = 90.00°
Sites, in units of the cell vectors:
Ba (0.000, 0.000, 0.000)
Sc (0.500, 0.500, 0.342)
Sc (0.500, 0.500, 0.658)
Ni (0.000, 0.000, 0.500)

Results
- Energy of formation from the pure elements: -0.020 eV/atom
- Symmetry: No. 10

=====

Record 3
Material: NdGdMg2
Method: DFT, PBE
State: optimized geometry

a = 5.439 Å, b = 5.439 Å, c = 3.875 Å
α = 90.00°, β = 90.00°, γ = 90.00°
Sites, in units of the cell vectors:
Nd (0.000, 0.000, 0.000)
Gd (0.500, 0.500, 0.000)
Mg (0.000, 0.500, 0.500)
Mg (0.500, 0.000, 0.500)

Results
- Energy of formation from the pure elements: -0.108 eV/atom
- Symmetry: No. 123

=====

Record 4
Material: TiB2PI
Method: DFT, PBE
State: optimized geometry

a = 4.315 Å, b = 4.315 Å, c = 5.304 Å
α = 90.00°, β = 90.00°, γ = 90.00°
Sites, in units of the cell vectors:
Ti (0.000, 0.000, 0.000)
B (0.000, 0.500, 0.500)
B (0.500, 0.000, 0.500)
P (0.500, 0.500, 0.000)
I (0.000, 0.000, 0.500)

Results
- Symmetry: No. 123
- ΔE_f (raw): 2160 meV per atom

=====

Number 1: electronic total energy -29.75 eV/cell. Number 2: electronic total energy -20.45 eV/cell. Number 3: electronic total energy -22.47 eV/cell. Number 4: electronic total energy -17.41 eV/cell.